(1)
Compound: RbPdPb
Source: the Alexandria database
Functional: PBE-GGA
Structure: relaxed

Relative energy among the computed polymorphs: 82.1 meV per atom

Cell: 4.6961 8.5072 9.7874 Å, 92.10 90.00 90.00°
With the nearest neighbours (Å) after each atom.
Element x y z (fractional)
Rb  0.4994  0.7729  0.9199  5 Pd 3.55-3.93, 6 Pb 3.73-3.98
Rb  0.0006  0.2729  0.4199  5 Pd 3.55-3.93, 6 Pb 3.73-3.98
Rb  0.9994  0.7271  0.5801  5 Pd 3.55-3.93, 6 Pb 3.73-3.98
Rb  0.5006  0.2271  0.0801  5 Pd 3.55-3.93, 6 Pb 3.73-3.98
Pd  0.0012  0.4244  0.8744  1 Pd 2.73, 3 Pb 2.81
Pd  0.9988  0.5756  0.1256  1 Pd 2.73, 3 Pb 2.81
Pd  0.4988  0.9244  0.3744  1 Pd 2.73, 3 Pb 2.81
Pd  0.5012  0.0756  0.6256  1 Pd 2.73, 3 Pb 2.81
Pb  0.0011  0.1082  0.7811  3 Pd 2.81
Pb  0.4989  0.6082  0.2811  3 Pd 2.81
Pb  0.5011  0.3918  0.7189  3 Pd 2.81
Pb  0.9989  0.8918  0.2189  3 Pd 2.81



(2)
Compound: AlSnI5
Source: the Alexandria database
Functional: PBE-GGA
Structure: relaxed

Uncorrected formation energy: -0.5480 eV per atom

Cell: 8.2579 8.2584 11.7680 Å, 110.11 109.01 92.63°
With the nearest neighbours (Å) after each atom.
Element x y z (fractional)
Al  0.6041  0.3551  0.7486  4 I 2.57-2.59
Al  0.3948  0.6454  0.2488  4 I 2.57-2.59
Sn  0.0008  0.9963  0.9855  1 I 2.89
Sn  0.9903  0.4857  0.4855  1 I 2.89
I  0.8972  0.1658  0.2584  1 Sn 2.89
I  0.0937  0.8622  0.7585  1 Sn 2.89
I  0.7318  0.6949  0.3383  1 Al 2.59
I  0.3475  0.8994  0.1682  1 Al 2.58
I  0.2723  0.3513  0.0549  1 Al 2.57
I  0.2934  0.6990  0.4418  1 Al 2.58
I  0.7432  0.6497  0.9415  1 Al 2.58
I  0.7040  0.2839  0.5546  1 Al 2.57
I  0.6446  0.1078  0.8382  1 Al 2.59
I  0.2695  0.3212  0.6681  1 Al 2.58



(3)
Compound: CsReP2O8
Source: the Alexandria database
Functional: PBE-GGA
Structure: relaxed

Uncorrected formation energy: -1.9771 eV per atom

Cell: 4.9990 4.9990 9.7001 Å, 75.07 75.07 60.00°
With the nearest neighbours (Å) after each atom.
Element x y z (fractional)
Cs  0.5000  0.5000  0.5000  6 O 3.21
Re  0.0000  0.0000  0.0000  6 O 1.97
P  0.2712  0.2712  0.1865  4 O 1.49-1.57
P  0.7288  0.7288  0.8135  4 O 1.49-1.57
O  0.2174  0.2174  0.3479  1 P 1.49
O  0.6083  0.2345  0.1236  1 P 1.57
O  0.7826  0.7826  0.6521  1 P 1.49
O  0.0336  0.6083  0.1236  1 P 1.57
O  0.9664  0.3916  0.8764  1 P 1.57
O  0.2345  0.0336  0.1236  1 P 1.57
O  0.7655  0.9664  0.8764  1 P 1.57
O  0.3916  0.7655  0.8764  1 P 1.57



(4)
Compound: LaY3Ru
Source: the Alexandria database
Functional: PBE-GGA
Structure: relaxed

Relative energy among the computed polymorphs: 15.8 meV per atom

Cell: 6.0808 8.5846 6.0781 Å, 90.00 102.41 90.00°
With the nearest neighbours (Å) after each atom.
Element x y z (fractional)
Y  0.2286  0.5002  0.2280  2 Ru 2.76
Y  0.7714  0.4998  0.7720  2 Ru 2.76
Y  0.2286  0.9998  0.2280  2 Ru 2.76
Y  0.7714  0.0002  0.7720  2 Ru 2.76
Y  0.2812  0.2500  0.7176  1 Ru 2.74
Y  0.7188  0.7500  0.2824  1 Ru 2.74
Ru  0.9928  0.2500  0.0081  1 La 2.65, 5 Y 2.74-2.76
Ru  0.0072  0.7500  0.9919  1 La 2.65, 5 Y 2.74-2.76
La  0.7120  0.2500  0.2877  1 Ru 2.65
La  0.2880  0.7500  0.7123  1 Ru 2.65



(5)
Compound: LiGaTcMo
Source: the Alexandria database
Functional: PBE-GGA
Structure: relaxed

E: -6.634 eV/atom

Cell: 4.3149 4.3149 4.3149 Å, 60.00 60.00 60.00°
With the nearest neighbours (Å) after each atom.
Element x y z (fractional)
Mo  0.2500  0.2500  0.2500  4 Tc 2.64, 4 Li 2.64
Tc  0.5000  0.5000  0.5000  4 Mo 2.64, 4 Ga 2.64
Ga  0.7500  0.7500  0.7500  4 Tc 2.64, 4 Li 2.64
Li  0.0000  0.0000  0.0000  4 Ga 2.64, 4 Mo 2.64



(6)
Compound: Mg2AsRh
Source: the Alexandria database
Functional: PBE-GGA
Structure: relaxed

E: -4.260 eV/atom

Cell: 5.3535 5.3535 4.6662 Å, 73.67 73.67 33.47°
With the nearest neighbours (Å) after each atom.
Element x y z (fractional)
As  0.2116  0.2116  0.2455  2 Rh 2.50, 1 Mg 2.79
Mg  0.9825  0.9825  0.0395  4 Rh 2.78-2.88, 3 As 2.79-3.07, 3 Mg 3.00-3.08
Mg  0.7798  0.7798  0.6900  4 As 2.83-2.92, 3 Rh 2.86-2.92, 4 Mg 3.00-3.14
Rh  0.5261  0.5261  0.5250  2 As 2.50, 2 Mg 2.78



(7)
Compound: Er2InCu3
Source: the Alexandria database
Functional: PBE-GGA
Structure: relaxed

E: -4.277 eV/atom

Cell: 5.6237 5.6237 8.4873 Å, 104.43 104.43 104.36°
With the nearest neighbours (Å) after each atom.
Element x y z (fractional)
Er  0.2500  0.7500  0.5000  4 In 3.11, 8 Cu 3.12-3.14, 2 Er 3.45
Er  0.7611  0.7611  0.0000  10 Cu 2.99-3.17, 2 In 3.13, 1 Er 3.30
Er  0.7500  0.2500  0.5000  4 In 3.11, 8 Cu 3.12-3.14, 2 Er 3.45
Er  0.2389  0.2389  0.0000  10 Cu 2.99-3.17, 2 In 3.13, 1 Er 3.30
In  0.6649  0.6649  0.3298  3 Cu 2.63-2.67
In  0.3351  0.3351  0.6702  3 Cu 2.63-2.67
Cu  0.3231  0.8380  0.1611  2 Cu 2.50-2.51, 1 In 2.63
Cu  0.1620  0.6769  0.8389  2 Cu 2.50-2.51, 1 In 2.63
Cu  0.6769  0.1620  0.8389  2 Cu 2.50-2.51, 1 In 2.63
Cu  0.8380  0.3231  0.1611  2 Cu 2.50-2.51, 1 In 2.63
Cu  0.1630  0.1630  0.3259  2 Cu 2.51, 1 In 2.67
Cu  0.8370  0.8370  0.6741  2 Cu 2.51, 1 In 2.67



(8)
Compound: ThSbN
Source: the Alexandria database
Functional: PBE-GGA
Structure: relaxed

Uncorrected formation energy: -1.2884 eV per atom
Relative energy among the computed polymorphs: 0.0 meV per atom

Cell: 4.2116 4.2117 7.9170 Å, 90.76 90.74 89.99°
With the nearest neighbours (Å) after each atom.
Element x y z (fractional)
Th  0.8164  0.8692  0.0580  4 N 2.37
Th  0.3106  0.3631  0.7812  4 N 2.37
Sb  0.8003  0.8535  0.4775  4 Sb 2.95-3.29
Sb  0.3271  0.3807  0.3617  4 Sb 2.95-3.29
N  0.8138  0.3659  0.9196  4 Th 2.37
N  0.3133  0.8664  0.9196  4 Th 2.37



(9)
Compound: BaZnSe2
Source: the Alexandria database
Functional: PBE-GGA
Structure: relaxed

Uncorrected formation energy: -1.2888 eV per atom

Cell: 5.3863 7.3554 7.3554 Å, 90.00 90.00 90.00°
With the nearest neighbours (Å) after each atom.
Element x y z (fractional)
Ba  0.2216  0.7372  0.8241  6 Se 3.26-3.39
Ba  0.7216  0.2368  0.3243  6 Se 3.26-3.40
Zn  0.4719  0.2373  0.8243  4 Se 2.53, 2 Zn 2.69
Zn  0.9719  0.2373  0.8243  4 Se 2.53, 2 Zn 2.69
Se  0.2217  0.3757  0.0800  2 Zn 2.53
Se  0.2217  0.0988  0.5684  2 Zn 2.53
Se  0.7217  0.4930  0.6857  2 Zn 2.53
Se  0.7217  0.9814  0.9625  2 Zn 2.53



(10)
Compound: TcPbSe2
Source: the Alexandria database
Functional: PBE-GGA
Structure: relaxed

Uncorrected formation energy: 0.4463 eV per atom
Relative energy among the computed polymorphs: 606.3 meV per atom

Cell: 3.4050 5.0129 5.0129 Å, 90.00 90.00 90.00°
With the nearest neighbours (Å) after each atom.
Element x y z (fractional)
Pb  0.5000  0.0000  0.5000  8 Se 3.03
Se  0.0000  0.0000  0.0000  4 Pb 3.03, 4 Tc 3.03
Se  0.0000  0.5000  0.5000  4 Pb 3.03, 4 Tc 3.03
Tc  0.5000  0.5000  0.0000  8 Se 3.03



(11)
Compound: CuBS3
Source: the Alexandria database
Functional: PBE-GGA
Structure: relaxed

Uncorrected formation energy: 1.4310 eV per atom
Relative energy among the computed polymorphs: 1570.1 meV per atom

Cell: 4.4996 4.4996 4.4996 Å, 90.00 90.00 90.00°
With the nearest neighbours (Å) after each atom.
Element x y z (fractional)
S  0.0000  0.5000  0.0000  2 Cu 2.25
S  0.0000  0.0000  0.5000  2 Cu 2.25
S  0.5000  0.0000  0.0000  2 Cu 2.25
B  0.5000  0.5000  0.5000  12 S 3.18
Cu  0.0000  0.0000  0.0000  6 S 2.25



(12)
Compound: InCu2Ru
Source: the Alexandria database
Functional: PBE-GGA
Structure: relaxed

E: -4.871 eV/atom

Cell: 3.1611 3.1629 5.8980 Å, 90.00 90.00 90.00°
With the nearest neighbours (Å) after each atom.
Element x y z (fractional)
Cu  0.0000  0.0000  0.0113  4 Cu 2.55, 4 Ru 2.65
Cu  0.5000  0.5000  0.2185  4 Cu 2.55, 1 Ru 2.64, 4 In 2.78
In  0.0000  0.0000  0.4994  4 Ru 2.75, 6 Cu 2.78-3.02
Ru  0.5000  0.5000  0.7707  5 Cu 2.64-2.65, 4 In 2.75



(13)
Compound: NaCaGe
Source: the Alexandria database
Functional: PBE-GGA
Structure: relaxed

E: -3.017 eV/atom

Cell: 4.0514 4.4408 10.0448 Å, 77.23 90.00 90.00°
With the nearest neighbours (Å) after each atom.
Element x y z (fractional)
Ge  0.7500  0.4575  0.0850  2 Ge 2.62
Ge  0.2500  0.5425  0.9150  2 Ge 2.62
Na  0.7500  0.2977  0.4047  1 Ge 3.13
Na  0.2500  0.7023  0.5953  1 Ge 3.13
Ca  0.7500  0.0778  0.8444  6 Ge 3.08-3.24
Ca  0.2500  0.9222  0.1556  6 Ge 3.08-3.24



(14)
Compound: ZrMnTc3
Source: the Alexandria database
Functional: PBE-GGA
Structure: relaxed

Relative energy among the computed polymorphs: 0.0 meV per atom

Cell: 4.4298 4.4298 4.4298 Å, 90.00 90.00 90.00°
With the nearest neighbours (Å) after each atom.
Element x y z (fractional)
Mn  0.0000  0.0000  0.0000  6 Tc 2.21
Tc  0.0000  0.5000  0.0000  2 Mn 2.21
Tc  0.0000  0.0000  0.5000  2 Mn 2.21
Tc  0.5000  0.0000  0.0000  2 Mn 2.21
Zr  0.5000  0.5000  0.5000  12 Tc 3.13



(15)
Compound: RbTl3Ir
Source: the Alexandria database
Functional: PBE-GGA
Structure: relaxed

Relative energy among the computed polymorphs: 0.0 meV per atom

Cell: 5.4040 5.4040 5.4040 Å, 90.00 90.00 90.00°
With the nearest neighbours (Å) after each atom.
Element x y z (fractional)
Tl  0.0000  0.5000  0.0000  2 Ir 2.70
Tl  0.0000  0.0000  0.5000  2 Ir 2.70
Tl  0.5000  0.0000  0.0000  2 Ir 2.70
Ir  0.0000  0.0000  0.0000  6 Tl 2.70
Rb  0.5000  0.5000  0.5000  12 Tl 3.82



(16)
Compound: ErSc4Al5
Source: the Alexandria database
Functional: PBE-GGA
Structure: relaxed

E: -5.295 eV/atom

Cell: 3.4084 3.4084 17.1211 Å, 90.00 90.00 90.00°
With the nearest neighbours (Å) after each atom.
Element x y z (fractional)
Er  0.0000  0.0000  0.0000  8 Al 3.08, 4 Er 3.41
Sc  0.0000  0.0000  0.2081  8 Al 2.92-2.93
Sc  0.0000  0.0000  0.4030  8 Al 2.93
Sc  0.0000  0.0000  0.5970  8 Al 2.93
Sc  0.0000  0.0000  0.7919  8 Al 2.92-2.93
Al  0.5000  0.5000  0.1119  4 Sc 2.92, 4 Er 3.08
Al  0.5000  0.5000  0.3058  8 Sc 2.93
Al  0.5000  0.5000  0.5000  8 Sc 2.93
Al  0.5000  0.5000  0.6942  8 Sc 2.93
Al  0.5000  0.5000  0.8881  4 Sc 2.92, 4 Er 3.08



(17)
Compound: TbSmLuMg
Source: the Alexandria database
Functional: PBE-GGA
Structure: relaxed

E: -3.849 eV/atom

Cell: 5.4977 5.4977 5.4977 Å, 60.00 60.00 60.00°
With the nearest neighbours (Å) after each atom.
Element x y z (fractional)
Mg  0.0000  0.0000  0.0000  4 Sm 3.37, 4 Tb 3.37
Lu  0.5000  0.5000  0.5000  4 Tb 3.37, 4 Sm 3.37
Tb  0.2500  0.2500  0.2500  4 Mg 3.37, 4 Lu 3.37
Sm  0.7500  0.7500  0.7500  4 Mg 3.37, 4 Lu 3.37



(18)
Compound: Ba2SI
Source: the Alexandria database
Functional: PBE-GGA
Structure: relaxed

Uncorrected formation energy: -1.4780 eV per atom
Relative energy among the computed polymorphs: 248.8 meV per atom

Cell: 7.7229 7.7229 8.9839 Å, 64.54 64.54 90.00°
With the nearest neighbours (Å) after each atom.
Element x y z (fractional)
I  0.0000  0.0000  0.0000  4 Ba 3.53
I  0.7500  0.2500  0.5000  4 Ba 3.53
S  0.5000  0.5000  0.0000  4 Ba 3.03
S  0.2500  0.7500  0.5000  4 Ba 3.03
Ba  0.5691  0.1250  0.2500  2 S 3.03
Ba  0.1809  0.6250  0.2500  2 S 3.03
Ba  0.3750  0.4309  0.7500  2 S 3.03
Ba  0.8750  0.8191  0.7500  2 S 3.03



(19)
Compound: NbCuP
Source: the Alexandria database
Functional: PBE-GGA
Structure: relaxed

E: -6.953 eV/atom

Cell: 6.1174 3.3069 9.0392 Å, 90.00 100.82 90.00°
With the nearest neighbours (Å) after each atom.
Element x y z (fractional)
Nb  0.8661  0.0000  0.1479  5 P 2.55-2.63
Nb  0.8661  0.5000  0.6479  5 P 2.55-2.63
Nb  0.1181  0.0000  0.9068  5 P 2.51-2.68
Nb  0.1181  0.5000  0.4068  5 P 2.51-2.68
Cu  0.4875  0.0000  0.5204  2 P 2.28-2.29, 1 Cu 2.54
Cu  0.4875  0.5000  0.0204  2 P 2.28-2.29, 1 Cu 2.54
Cu  0.5426  0.0000  0.8057  3 P 2.35-2.38, 3 Cu 2.54-2.62
Cu  0.5426  0.5000  0.3057  3 P 2.35-2.38, 3 Cu 2.54-2.62
P  0.8023  0.0000  0.4181  3 Cu 2.29-2.38, 3 Nb 2.55-2.56
P  0.8023  0.5000  0.9181  3 Cu 2.29-2.38, 3 Nb 2.55-2.56
P  0.1945  0.0000  0.6437  2 Cu 2.28-2.35, 1 Nb 2.51
P  0.1945  0.5000  0.1437  2 Cu 2.28-2.35, 1 Nb 2.51



(20)
Compound: Re2Ir
Source: the Alexandria database
Functional: PBE-GGA
Structure: relaxed

Relative energy among the computed polymorphs: 115.2 meV per atom

Cell: 2.7490 6.1777 2.7490 Å, 77.14 90.00 102.86°
With the nearest neighbours (Å) after each atom.
Element x y z (fractional)
Ir  0.0000  0.0000  0.0000  4 Ir 2.75, 8 Re 2.76
Re  0.3326  0.6652  0.6674  8 Re 2.74-2.75, 4 Ir 2.76
Re  0.6674  0.3348  0.3326  8 Re 2.74-2.75, 4 Ir 2.76



(21)
Compound: BaCaPd4
Source: the Alexandria database
Functional: PBE-GGA
Structure: relaxed

E: -4.702 eV/atom

Cell: 5.6130 5.6130 5.6130 Å, 60.00 60.00 60.00°
With the nearest neighbours (Å) after each atom.
Element x y z (fractional)
Ca  0.0000  0.0000  0.0000  12 Pd 3.29, 4 Ba 3.44
Ba  0.2500  0.2500  0.2500  12 Pd 3.29, 4 Ca 3.44
Pd  0.6256  0.6256  0.1233  6 Pd 2.79-2.82
Pd  0.6256  0.1233  0.6256  6 Pd 2.79-2.82
Pd  0.6256  0.6256  0.6256  6 Pd 2.79-2.82
Pd  0.1233  0.6256  0.6256  6 Pd 2.79-2.82



(22)
Compound: ReAgAs2
Source: the Alexandria database
Functional: PBE-GGA
Structure: relaxed

Relative energy among the computed polymorphs: 344.7 meV per atom

Cell: 3.3024 3.3024 6.4717 Å, 90.00 90.00 90.00°
With the nearest neighbours (Å) after each atom.
Element x y z (fractional)
Re  0.0000  0.0000  0.4369  5 As 2.52-2.69
As  0.0000  0.0000  0.0216  1 Re 2.69, 4 As 2.92, 4 Ag 2.93
As  0.5000  0.5000  0.2924  4 Re 2.52
Ag  0.5000  0.5000  0.7491  5 As 2.93-2.96, 4 Re 3.09



(23)
Compound: Hf5Mn2Tl2
Source: the Alexandria database
Functional: PBE-GGA
Structure: relaxed

E: -8.092 eV/atom

Cell: 7.2514 6.7932 8.4365 Å, 90.00 64.55 90.00°
With the nearest neighbours (Å) after each atom.
Element x y z (fractional)
Hf  0.0000  0.0000  0.0000  4 Mn 2.77-2.90, 8 Hf 3.06-3.08
Hf  0.5000  0.5000  0.0000  4 Mn 2.77-2.90, 8 Hf 3.06-3.08
Hf  0.4233  0.1804  0.7793  3 Mn 2.63-2.79
Hf  0.7975  0.8196  0.7793  3 Mn 2.63-2.79
Hf  0.2975  0.6804  0.7793  3 Mn 2.63-2.79
Hf  0.9233  0.3196  0.7793  3 Mn 2.63-2.79
Hf  0.5767  0.8196  0.2207  3 Mn 2.63-2.79
Hf  0.2025  0.1804  0.2207  3 Mn 2.63-2.79
Hf  0.7025  0.3196  0.2207  3 Mn 2.63-2.79
Hf  0.0767  0.6804  0.2207  3 Mn 2.63-2.79
Mn  0.1133  0.3890  0.0000  1 Mn 2.23
Mn  0.8867  0.6110  0.0000  1 Mn 2.23
Mn  0.3867  0.8890  0.0000  1 Mn 2.23
Mn  0.6133  0.1110  0.0000  1 Mn 2.23
Tl  0.2284  0.0000  0.5432  6 Hf 3.06-3.14
Tl  0.7284  0.5000  0.5432  6 Hf 3.06-3.14
Tl  0.7716  0.0000  0.4568  6 Hf 3.06-3.14
Tl  0.2716  0.5000  0.4568  6 Hf 3.06-3.14



(24)
Compound: RbErSiO4
Source: the Alexandria database
Functional: PBE-GGA
Structure: relaxed

Uncorrected formation energy: -2.8988 eV per atom

Cell: 5.5629 5.7128 7.6401 Å, 90.00 107.39 90.00°
With the nearest neighbours (Å) after each atom.
Element x y z (fractional)
Rb  0.6931  0.7500  0.9309  4 O 2.79-3.06
Rb  0.3069  0.2500  0.0691  4 O 2.79-3.06
Er  0.7879  0.7500  0.4605  6 O 2.25-2.39
Er  0.2121  0.2500  0.5395  6 O 2.25-2.39
Si  0.2475  0.7500  0.3454  4 O 1.63-1.66
Si  0.7525  0.2500  0.6546  4 O 1.63-1.66
O  0.9505  0.4737  0.6734  1 Si 1.66
O  0.0495  0.9737  0.3266  1 Si 1.66
O  0.0495  0.5263  0.3266  1 Si 1.66
O  0.9505  0.0263  0.6734  1 Si 1.66
O  0.4290  0.7500  0.2122  1 Si 1.63
O  0.5710  0.2500  0.7878  1 Si 1.63
O  0.4420  0.7500  0.5559  1 Si 1.65
O  0.5580  0.2500  0.4441  1 Si 1.65



Size of the total moment in Bohr magnetons per cell, matching the order above: 0.00; 0.00; 2.00; 0.00; 0.00; 0.00; 0.00; 0.00; 0.00; 2.27; 0.00; 0.00; 0.00; 0.00; 0.00; 0.00; 0.00; 1.74; 0.00; 0.00; 0.00; 0.00; 0.00; 0.00